[1]
A plane-wave DFT calculation with PBE with a Hubbard U was carried out for a relaxed Na4V2O5 crystal.

Geometry as extended XYZ:
```
22
Lattice="0.0000 4.7193 10.1431 3.0113 0.0000 10.1431 3.0113 4.7193 0.0000" Properties=species:S:1:pos:R:3 pbc="T T T"
Na 1.5231 4.7606 12.0731
Na 3.0287 7.1202 13.2846
O 1.5056 2.3597 1.4037
O 3.0113 4.7193 16.6183
Na 3.0287 2.3184 7.0015
O 3.0113 4.7193 13.9429
V 4.5169 5.1439 15.2146
O 3.0113 4.7193 3.6679
O 3.0113 4.7193 10.1431
Na 2.9938 7.1202 7.0015
O 4.5169 7.0790 19.0144
V 3.0113 2.7843 10.1431
O 4.5169 7.0790 11.4148
Na 1.5231 4.6781 8.2131
O 4.5169 7.0790 15.2146
Na 4.4995 4.7606 8.2131
O 1.5056 2.3597 8.7394
Na 4.4995 4.6781 12.0731
O 3.0113 4.7193 6.3433
V 3.0113 6.6543 10.1431
V 4.5169 9.0140 15.2146
Na 2.9938 2.3184 13.2846
```

[2]
A plane-wave DFT calculation with PBE with a Hubbard U was carried out for a relaxed Na2VO3 crystal.

Geometry as extended XYZ:
```
24
Lattice="5.3792 0.0000 0.0000 0.0000 9.3670 0.0000 0.0000 0.0000 6.1170" Properties=species:S:1:pos:R:3 pbc="T T T"
O 5.3214 8.2926 4.7965
Na 3.9634 3.9314 5.4512
O 3.4316 7.0253 0.7733
Na 1.4168 5.4357 0.6659
Na 3.9634 0.7521 5.4512
O 2.6318 8.2926 4.3790
O 2.7470 1.0745 1.7381
Na 1.2738 0.7521 3.7243
V 3.8662 7.0253 5.2128
O 0.0574 1.0746 1.3204
O 1.9472 2.3418 5.3436
Na 4.1064 5.4357 2.3926
O 0.0574 3.6090 1.3204
O 4.6368 2.3418 3.8319
V 1.5126 2.3417 0.9042
Na 1.4168 8.6148 0.6659
V 4.2022 2.3418 2.1543
O 2.6318 5.7579 4.3790
Na 4.1064 8.6148 2.3926
Na 1.2738 3.9314 3.7243
O 2.7470 3.6090 1.7381
V 1.1766 7.0253 3.9627
O 0.7420 7.0253 2.2852
O 5.3214 5.7579 4.7965
```

Fermi-level density of states   0.00 states/eV/cell

Number 1: calculated total energy -127.15 eV per cell. Number 2: calculated total energy -145.70 eV per cell.